Entry 1:
## ErSc2Pt9 (PBE)

Data for a relaxed ErSc2Pt9 crystal.

Lattice parameters (Å, degrees): 4.040 4.040 12.112 90.00 90.00 90.00
Element x y z (fractional)
Er 0.000 0.000 0.000
Sc 0.000 0.000 0.335
Sc 0.000 0.000 0.665
Pt 0.500 0.500 0.000
Pt 0.500 0.500 0.336
Pt 0.500 0.500 0.664
Pt 0.500 0.000 0.173
Pt 0.500 0.000 0.500
Pt 0.500 0.000 0.827
Pt 0.000 0.500 0.173
Pt 0.000 0.500 0.500
Pt 0.000 0.500 0.827

Summary:
Its space-group type is P4/mmm. For the calculated density, the calculation gives 16.91 g cm⁻³. The calculation puts the total DFT energy (no corrections) at -84.4 eV for the cell shown. The value obtained for the density of states at the Fermi level is 10.25 states/eV/f.u.

=====

Entry 2:
## ErSc5Pt6 (PBE)

Data for a relaxed ErSc5Pt6 crystal.

Lattice parameters (Å, degrees): 4.699 8.151 8.151 119.81 106.75 106.75
Element x y z (fractional)
Sc 0.500 0.167 0.833
Sc 0.000 0.333 0.667
Sc 0.500 0.500 0.500
Sc 0.000 0.667 0.333
Sc 0.500 0.833 0.167
Pt 0.254 0.083 0.426
Pt 0.746 0.574 0.917
Pt 0.763 0.263 0.263
Pt 0.237 0.737 0.737
Pt 0.254 0.426 0.083
Pt 0.746 0.917 0.574
Er 0.000 0.000 0.000

Summary:
Its space-group type is Immm. For the calculated density, the calculation gives 11.70 g cm⁻³. The calculation puts the total DFT energy (no corrections) at -87.3 eV for the cell shown. The value obtained for the density of states at the Fermi level is 8.04 states/eV/f.u.

=====

Entry 3:
## Er3Sc4Pt4 (PBE)

Data for a relaxed Er3Sc4Pt4 crystal.

Lattice parameters (Å, degrees): 4.217 7.894 8.540 117.53 104.29 90.00
Element x y z (fractional)
Er 0.109 0.109 0.219
Er 0.891 0.891 0.781
Er 0.000 0.500 0.000
Sc 0.328 0.131 0.657
Sc 0.672 0.474 0.343
Sc 0.672 0.869 0.343
Sc 0.328 0.526 0.657
Pt 0.221 0.721 0.443
Pt 0.779 0.279 0.557
Pt 0.500 0.811 0.000
Pt 0.500 0.189 0.000

Summary:
Its space-group type is Immm. For the calculated density, the calculation gives 10.03 g cm⁻³. The calculation puts the total DFT energy (no corrections) at -73.9 eV for the cell shown. The value obtained for the density of states at the Fermi level is 14.01 states/eV/f.u.

=====

Entry 4:
## ErScPt (PBE)

Data for a relaxed ErScPt crystal.

Lattice parameters (Å, degrees): 4.697 4.697 4.697 60.00 60.00 60.00
Element x y z (fractional)
Sc 0.000 0.000 0.000
Pt 0.250 0.250 0.250
Er 0.500 0.500 0.500

Summary:
Its space-group type is F-43m. For the calculated density, the calculation gives 9.23 g cm⁻³. The calculation puts the total DFT energy (no corrections) at -19.6 eV for the cell shown. The calculation puts the energy relative to the lowest polymorph listed for this composition at 114 meV per atom. The value obtained for the density of states at the Fermi level is 2.61 states/eV/f.u.

=====

Which of these has the highest total DFT energy (no corrections)? ErScPt